Entry from Alexandria via LeMat-Bulk: a geometry-optimized NaErIn structure (PBE).

Unit cell a=3.326 b=5.276 c=5.276 alpha=120.00 beta=90.00 gamma=90.00
Positions (direct):
In 0.832 0.667 0.333
Na 0.835 0.000 0.000
Er 0.333 0.333 0.667

Values from the calculation:
**DOS(E_F)**: 3.4 states/eV/cell
**V**: 80.2 Å³/cell
**Offset from the most stable computed form**: 0.0 meV per atom
**Magnetic moment**: 0.000 μB/cell
**Electronic total energy**: -2.943 eV/atom

=====

Entry from Alexandria via LeMat-Bulk: a geometry-optimized NaEr5In6 structure (PBE).

Unit cell a=5.268 b=7.437 c=8.365 alpha=90.00 beta=71.62 gamma=90.00
Positions (direct):
In 0.166 0.750 0.668
In 0.500 0.242 0.000
In 0.834 0.250 0.332
In 0.834 0.750 0.332
In 0.166 0.250 0.668
In 0.500 0.758 0.000
Er 0.666 0.000 0.669
Er 0.663 0.500 0.674
Er 0.000 0.500 0.000
Er 0.334 0.000 0.331
Er 0.337 0.500 0.326
Na 0.000 0.000 0.000

Values from the calculation:
**DOS(E_F)**: 8.0 states/eV/cell
**V**: 311.0 Å³/cell
**Magnetic moment**: 0.000 μB/cell
**Electronic total energy**: -3.765 eV/atom

=====

Q: DOS(E_F) of number 2 (NaEr5In6)?
A: 8.0 states/eV/cell

=====

Q: Which of these has the highest V?
A: NaEr5In6